--- i ---
ErScZnIn | PBE | optimized geometry

```
ErScZnIn
1.0
3.5227 0.0000 0.0000
0.0000 3.5227 0.0000
0.0000 0.0000 7.1657
Er Sc Zn In
1 1 1 1
Direct
0.0000 0.0000 0.0000
0.0000 0.0000 0.4595
0.5000 0.5000 0.2499
0.5000 0.5000 0.7137
```

=====

--- ii ---
ErScZnIn | PBE | optimized geometry

```
ErScZnIn
1.0
0.0000 3.5554 3.5554
3.5554 0.0000 3.5554
3.5554 3.5554 0.0000
Er Sc Zn In
1 1 1 1
Direct
0.0000 0.0000 0.0000
0.5000 0.5000 0.5000
0.7500 0.7500 0.7500
0.2500 0.2500 0.2500
```

=====

Most favorable first, least favorable last: i, ii

=====

--- i ---
ErInSe3 | PBE | optimized geometry

```
ErInSe3
1.0
7.3381 0.0000 0.0000
0.0000 7.2682 0.0000
-4.4890 0.0000 10.4641
Er In Se
4 4 12
Direct
0.0079 0.1126 0.1852
0.0079 0.3874 0.6852
0.9921 0.6126 0.3148
0.9921 0.8874 0.8148
0.3745 0.6046 0.1225
0.3745 0.8954 0.6225
0.6255 0.1046 0.3775
0.6255 0.3954 0.8775
0.0208 0.7282 0.5687
0.0208 0.7718 0.0687
0.2910 0.6180 0.8765
0.2910 0.8820 0.3765
0.3313 0.1278 0.7885
0.3313 0.3722 0.2885
0.6687 0.6278 0.7115
0.6687 0.8722 0.2115
0.7090 0.1180 0.6235
0.7090 0.3820 0.1235
0.9792 0.2282 0.9313
0.9792 0.2718 0.4313
```

=====

--- ii ---
ErInSe3 | PBE | optimized geometry

```
ErInSe3
1.0
4.1708 0.0000 0.0000
0.0000 11.5799 3.4096
0.0000 -11.5799 3.4096
Er In Se
2 2 6
Direct
0.2500 0.1751 0.8249
0.7500 0.8249 0.1751
0.2500 0.3089 0.5603
0.7500 0.5603 0.3089
0.2500 0.0126 0.4667
0.2500 0.3415 0.1866
0.2500 0.6934 0.9260
0.7500 0.1866 0.3415
0.7500 0.4667 0.0126
0.7500 0.9260 0.6934
```

=====

Most favorable first, least favorable last: ii, i

=====

--- i ---
Er2InSe | PBE | optimized geometry

```
Er2InSe
1.0
2.1462 -11.3752 0.0000
2.1462 11.3752 0.0000
0.0000 0.0000 4.1669
Er In Se
4 2 2
Direct
0.0699 0.9301 0.7500
0.3178 0.6822 0.7500
0.6822 0.3178 0.2500
0.9301 0.0699 0.2500
0.4547 0.5453 0.7500
0.5453 0.4547 0.2500
0.1935 0.8065 0.7500
0.8065 0.1935 0.2500
```

=====

--- ii ---
Er2InSe | PBE | optimized geometry

```
Er2InSe
1.0
1.9272 1.1126 8.0550
-1.9272 1.1126 8.0550
0.0000 -2.2253 8.0550
Er In Se
2 1 1
Direct
0.2393 0.2393 0.2393
0.7607 0.7607 0.7607
0.0000 0.0000 0.0000
0.5000 0.5000 0.5000
```

=====

Most favorable first, least favorable last: i, ii

=====

--- i ---
Sm2ErIn4 | PBE | optimized geometry

```
Sm2ErIn4
1.0
-2.8129 2.8129 7.9482
2.8129 -2.8129 7.9482
2.8129 2.8129 -7.9482
Sm Er In
2 1 4
Direct
0.1081 0.1081 0.0000
0.8919 0.8919 0.0000
0.5000 0.5000 0.0000
0.0000 0.5000 0.5000
0.3098 0.3098 0.0000
0.5000 0.0000 0.5000
0.6902 0.6902 0.0000
```

=====

--- ii ---
Sm2ErIn4 | PBE | optimized geometry

```
Sm2ErIn4
1.0
-2.6347 2.6347 7.4003
2.6347 -2.6347 7.4003
2.6347 2.6347 -7.4003
Sm Er In
2 1 4
Direct
0.2493 0.2493 0.0000
0.7507 0.7507 0.0000
0.5000 0.5000 0.0000
0.1109 0.6109 0.5000
0.3891 0.8891 0.5000
0.6109 0.1109 0.5000
0.8891 0.3891 0.5000
```

=====

Most favorable first, least favorable last: ii, i

=====

--- i ---
Sm5Er4In | PBE | optimized geometry

```
Sm5Er4In
1.0
4.1164 0.0000 0.0000
0.0000 4.1164 0.0000
0.0000 0.0000 18.5778
Sm Er In
5 4 1
Direct
0.0000 0.0000 0.0000
0.0000 0.0000 0.2037
0.0000 0.0000 0.4092
0.0000 0.0000 0.5908
0.0000 0.0000 0.7963
0.5000 0.5000 0.1023
0.5000 0.5000 0.3037
0.5000 0.5000 0.6963
0.5000 0.5000 0.8977
0.5000 0.5000 0.5000
```

=====

--- ii ---
Sm5Er4In | PBE | optimized geometry

```
Sm5Er4In
1.0
-5.2981 5.2981 2.9392
5.2981 -5.2981 2.9392
5.2981 5.2981 -2.9392
Sm Er In
5 4 1
Direct
0.0000 0.0000 0.0000
0.0946 0.0946 0.6258
0.0946 0.4689 0.0000
0.4689 0.0946 0.0000
0.4689 0.4689 0.3742
0.1076 0.7893 0.3182
0.4711 0.7893 0.6818
0.7893 0.1076 0.3182
0.7893 0.4711 0.6818
0.5194 0.5194 0.0000
```

=====

Most favorable first, least favorable last: i, ii

=====

--- i ---
Sm6ErIn | PBE | optimized geometry

```
Sm6ErIn
1.0
4.9710 0.0000 0.0000
0.0000 4.9710 0.0000
0.0000 0.0000 10.1891
Sm Er In
6 1 1
Direct
0.0000 0.0000 0.0000
0.0000 0.0000 0.5000
0.0000 0.5000 0.2440
0.0000 0.5000 0.7560
0.5000 0.0000 0.2440
0.5000 0.0000 0.7560
0.5000 0.5000 0.5000
0.5000 0.5000 0.0000
```

=====

--- ii ---
Sm6ErIn | PBE | optimized geometry

```
Sm6ErIn
1.0
3.3461 -5.7724 0.0000
3.3461 5.7724 0.0000
-0.0118 0.0000 6.6080
Sm Er In
6 1 1
Direct
0.0665 0.4966 0.7532
0.0709 0.0709 0.2468
0.4966 0.0665 0.7532
0.5034 0.9335 0.2468
0.9291 0.9291 0.7532
0.9335 0.5034 0.2468
0.5000 0.5000 0.5000
0.5000 0.5000 0.0000
```

=====

Most favorable first, least favorable last: i, ii

=====

--- i ---
SmEr3In4 | PBE | optimized geometry

```
SmEr3In4
1.0
-1.7118 3.5499 9.3567
1.7118 -3.5499 9.3567
1.7118 3.5499 -9.3567
Sm Er In
1 3 4
Direct
0.0000 0.0000 0.0000
0.2203 0.7203 0.5000
0.5000 0.5000 0.0000
0.7797 0.2797 0.5000
0.1609 0.8720 0.2889
0.4170 0.1280 0.2889
0.5830 0.8720 0.7111
0.8391 0.1280 0.7111
```

=====

--- ii ---
SmEr3In4 | PBE | optimized geometry

```
SmEr3In4
1.0
10.7418 0.0000 0.0000
0.0000 7.1924 0.0000
0.0000 0.0000 5.4844
Sm Er In
2 6 8
Direct
0.0000 0.0000 0.0000
0.5000 0.0000 0.0000
0.0000 0.5000 0.0000
0.2500 0.0000 0.4290
0.2500 0.5000 0.4192
0.5000 0.5000 0.0000
0.7500 0.0000 0.5710
0.7500 0.5000 0.5808
0.0000 0.2564 0.5000
0.0000 0.7436 0.5000
0.2500 0.2560 0.9142
0.2500 0.7440 0.9142
0.5000 0.2564 0.5000
0.5000 0.7436 0.5000
0.7500 0.2560 0.0858
0.7500 0.7440 0.0858
```

=====

Most favorable first, least favorable last: ii, i

=====

--- i ---
Sm6ErIn5 | PBE | optimized geometry

```
Sm6ErIn5
1.0
5.2441 -5.7137 0.0000
5.2441 5.7137 0.0000
-1.4182 0.0000 6.0773
Sm Er In
6 1 5
Direct
0.0433 0.4050 0.7304
0.2180 0.2180 0.2128
0.4050 0.0433 0.7304
0.5950 0.9567 0.2696
0.7820 0.7820 0.7872
0.9567 0.5950 0.2696
0.5000 0.5000 0.0000
0.0000 0.0000 0.5000
0.2082 0.7919 0.0000
0.3679 0.6321 0.5000
0.6321 0.3679 0.5000
0.7919 0.2082 0.0000
```

=====

--- ii ---
Sm6ErIn5 | PBE | optimized geometry

```
Sm6ErIn5
1.0
-2.5124 4.5035 7.5885
2.5124 -4.5035 7.5885
2.5124 4.5035 -7.5885
Sm Er In
6 1 5
Direct
0.0685 0.3295 0.7389
0.2330 0.0000 0.2330
0.4094 0.6705 0.7389
0.5906 0.3295 0.2611
0.7670 0.0000 0.7670
0.9315 0.6705 0.2611
0.5000 0.5000 0.0000
0.0000 0.5000 0.5000
0.1733 0.1733 0.0000
0.3477 0.8477 0.5000
0.6523 0.1523 0.5000
0.8267 0.8267 0.0000
```

=====

Most favorable first, least favorable last: ii, i

=====

--- i ---
Sm2Er4In | PBE | optimized geometry

```
Sm2Er4In
1.0
6.4617 0.0000 0.0000
0.0000 6.2380 0.0000
0.0000 0.0000 10.6524
Sm Er In
4 8 2
Direct
0.0000 0.2444 0.0413
0.0000 0.7556 0.9587
0.5000 0.2444 0.4587
0.5000 0.7556 0.5413
0.0000 0.0674 0.3451
0.0000 0.9326 0.6549
0.2500 0.4044 0.7500
0.2500 0.5956 0.2500
0.5000 0.0674 0.1549
0.5000 0.9326 0.8451
0.7500 0.4044 0.7500
0.7500 0.5956 0.2500
0.0000 0.5000 0.5000
0.5000 0.5000 0.0000
```

=====

--- ii ---
Sm2Er4In | PBE | optimized geometry

```
Sm2Er4In
1.0
5.7661 0.0000 0.0000
0.0000 6.6210 0.0000
-2.7341 0.0000 11.1492
Sm Er In
4 8 2
Direct
0.0416 0.2500 0.4759
0.3401 0.7500 0.0764
0.6599 0.2500 0.9236
0.9584 0.7500 0.5241
0.1553 0.0066 0.7864
0.1553 0.4934 0.7864
0.2121 0.2500 0.0631
0.3904 0.7500 0.3732
0.6096 0.2500 0.6268
0.7879 0.7500 0.9369
0.8447 0.5066 0.2136
0.8447 0.9934 0.2136
0.4652 0.2500 0.3344
0.5348 0.7500 0.6656
```

=====

Most favorable first, least favorable last: i, ii

=====

--- i ---
SmEr4In | PBE | optimized geometry

```
SmEr4In
1.0
3.5563 0.0000 0.0000
0.0000 3.5563 0.0000
0.0000 0.0000 14.1521
Sm Er In
1 4 1
Direct
0.0000 0.0000 0.0000
0.0000 0.0000 0.3527
0.0000 0.0000 0.6473
0.5000 0.5000 0.1785
0.5000 0.5000 0.8215
0.5000 0.5000 0.5000
```

=====

--- ii ---
SmEr4In | PBE | optimized geometry

```
SmEr4In
1.0
2.4281 -7.3382 0.0000
2.4281 7.3382 0.0000
0.0000 0.0000 9.8518
Sm Er In
2 8 2
Direct
0.1679 0.8321 0.5000
0.8321 0.1679 0.0000
0.0041 0.9959 0.7594
0.1662 0.8338 0.0165
0.3267 0.6733 0.7592
0.4986 0.5014 0.5089
0.5014 0.4986 0.0089
0.6733 0.3267 0.2592
0.8338 0.1662 0.5165
0.9959 0.0041 0.2594
0.3362 0.6638 0.2595
0.6638 0.3362 0.7595
```

=====

Most favorable first, least favorable last: i, ii

=====

--- i ---
Sm2ErIn | PBE | optimized geometry

```
Sm2ErIn
1.0
3.6008 0.0000 0.0000
0.0000 3.6008 0.0000
0.0000 0.0000 9.4139
Sm Er In
2 1 1
Direct
0.0000 0.0000 0.2292
0.0000 0.0000 0.7708
0.5000 0.5000 0.5000
0.5000 0.5000 0.0000
```

=====

--- ii ---
Sm2ErIn | PBE | optimized geometry

```
Sm2ErIn
1.0
4.8740 0.0000 0.0000
0.0000 4.8740 0.0000
0.0000 0.0000 4.9276
Sm Er In
2 1 1
Direct
0.0000 0.5000 0.0000
0.5000 0.0000 0.0000
0.0000 0.0000 0.5000
0.5000 0.5000 0.5000
```

=====

Most favorable first, least favorable last: ii, i

=====

--- i ---
Sm2ErIn | PBE | optimized geometry

```
Sm2ErIn
1.0
1.8216 1.0517 10.9241
-1.8216 1.0517 10.9241
0.0000 -2.1035 10.9241
Sm Er In
2 1 1
Direct
0.0000 0.0000 0.0000
0.1755 0.1755 0.1755
0.7544 0.7544 0.7544
0.5881 0.5881 0.5881
```

=====

--- ii ---
Sm2ErIn | PBE | optimized geometry

```
Sm2ErIn
1.0
0.0000 3.8938 3.8938
3.8938 0.0000 3.8938
3.8938 3.8938 0.0000
Sm Er In
2 1 1
Direct
0.2500 0.2500 0.2500
0.7500 0.7500 0.7500
0.0000 0.0000 0.0000
0.5000 0.5000 0.5000
```

=====

Most favorable first, least favorable last: ii, i